Record 1
This record from Alexandria via LeMat-Bulk describes a geometry-optimized TiZnCd2 structure. The functional is GGA-PBE.

Properties
Its formation enthalpy at 0 K is 2 meV/atom.

CIF file:
```
data_TiZnCd2
_cell_length_a 4.1398
_cell_length_b 4.1398
_cell_length_c 4.3185
_cell_angle_alpha 90.00
_cell_angle_beta 90.00
_cell_angle_gamma 90.00
_space_group_name_H-M_alt 'P 4/m m m'
_space_group_IT_number 123
_space_group_name_Hall '-P 4 2'
loop_
_atom_site_label
_atom_site_type_symbol
_atom_site_fract_x
_atom_site_fract_y
_atom_site_fract_z
Ti1 Ti 0.0000 0.0000 0.0000
Zn1 Zn 0.5000 0.5000 0.0000
Cd1 Cd 0.0000 0.5000 0.5000
```

***

Record 2
This record from Alexandria via LeMat-Bulk describes a geometry-optimized TiZn2Cd structure. The functional is GGA-PBE.

Properties
Its formation enthalpy at 0 K is 20 meV/atom.

CIF file:
```
data_TiZn2Cd
_cell_length_a 2.9018
_cell_length_b 2.9018
_cell_length_c 28.5275
_cell_angle_alpha 90.00
_cell_angle_beta 90.00
_cell_angle_gamma 120.00
_space_group_name_H-M_alt 'R 3 m'
_space_group_IT_number 160
_space_group_name_Hall 'R 3 -2"'
loop_
_atom_site_label
_atom_site_type_symbol
_atom_site_fract_x
_atom_site_fract_y
_atom_site_fract_z
Ti1 Ti 0.0000 0.0000 0.0000
Zn1 Zn 0.0000 0.0000 0.5874
Zn2 Zn 0.0000 0.0000 0.7457
Cd1 Cd 0.0000 0.0000 0.1661
```

***

- Which formula does entry 2 have?
  TiZn2Cd